# MgCrRu2, relaxed, DFT PBE-GGA
data_MgCrRu2
_symmetry_space_group_name_H-M 'I -4 m 2'
_symmetry_Int_Tables_number 119
_symmetry_space_group_name_Hall 'I -4 -2'
_cell_length_a 3.6652
_cell_length_b 3.6652
_cell_length_c 8.4227
_cell_angle_alpha 90.00
_cell_angle_beta 90.00
_cell_angle_gamma 90.00
loop_
_atom_site_label
_atom_site_type_symbol
_atom_site_fract_x
_atom_site_fract_y
_atom_site_fract_z
Mg1 Mg 0.0000 0.0000 0.0000
Cr1 Cr 0.0000 0.5000 0.2500
Ru1 Ru 0.0000 0.0000 0.5000
Ru2 Ru 0.0000 0.5000 0.7500
# * D(E_F): 5.0 states/eV/f.u.
# * energy of formation from the pure elements: 0.238 eV per atom